A geometry-optimized PmSbBr6 structure. Source: the Alexandria database, functional PBE-GGA.

Summary:
**Uncorrected formation energy**: -1.19 eV per atom
**Magnetization**: 0.000 μB per atom
**Symmetry**: C2/m, No. 12

abc: 7.531 7.531 7.079
angles: 97.96 97.96 123.90
Fractional coordinates of all 8 atoms:
Pm (0.000, 0.000, 0.000)
Sb (0.500, 0.500, 0.500)
Br (0.110, 0.403, 0.254)
Br (0.251, 0.251, 0.747)
Br (0.403, 0.110, 0.254)
Br (0.597, 0.890, 0.746)
Br (0.749, 0.749, 0.253)
Br (0.890, 0.597, 0.746)